1.
This record from Alexandria via LeMat-Bulk describes an optimized crystal structure of PmIn2Ag3. The functional is PBE.

```
data_PmIn2Ag3
_chemical_formula_sum 'Pm4 In8 Ag12'
_cell_length_a 17.343
_cell_length_b 4.726
_cell_length_c 6.716
_cell_angle_alpha 90.00
_cell_angle_beta 102.69
_cell_angle_gamma 90.00
_space_group_name_H-M_alt 'C 1 2/m 1'
_space_group_IT_number 12
loop_
_space_group_symop_operation_xyz
'x,y,z'
'-x,-y,-z'
'-x,y,-z'
'x,-y,z'
'x+1/2,y+1/2,z'
'-x+1/2,-y+1/2,-z'
'-x+1/2,y+1/2,-z'
'x+1/2,-y+1/2,z'
loop_
_atom_site_label
_atom_site_fract_x
_atom_site_fract_y
_atom_site_fract_z
Pm1 0.119 0.000 0.153
In1 0.016 0.500 0.794
In2 0.232 0.000 0.661
Ag1 0.069 0.000 0.657
Ag2 0.130 0.500 0.494
Ag3 0.195 0.500 0.919
```

## Properties
Raw total energy = -3.38 eV per atom
Size of the total moment = 0.00 μB per atom
Energy of formation from the pure elements = -0.25 eV/atom

2.
This record from Alexandria via LeMat-Bulk describes an optimized crystal structure of Y5Ho2Sc. The functional is PBE.

```
data_Y5Ho2Sc
_chemical_formula_sum 'Y20 Ho8 Sc4'
_cell_length_a 5.462
_cell_length_b 11.860
_cell_length_c 15.608
_cell_angle_alpha 90.00
_cell_angle_beta 90.00
_cell_angle_gamma 90.00
_space_group_name_H-M_alt 'C m c m'
_space_group_IT_number 63
_space_group_name_Hall '-C 2c 2'
loop_
_atom_site_label
_atom_site_fract_x
_atom_site_fract_y
_atom_site_fract_z
Y1 0.000 0.035 0.250
Y2 0.000 0.122 0.548
Y3 0.000 0.422 0.598
Ho1 0.000 0.279 0.136
Sc1 0.000 0.232 0.750
```

## Properties
Raw total energy = -5.85 eV per atom
Size of the total moment = 0.00 μB per atom
Energy of formation from the pure elements = 0.13 eV/atom

3.
This record from Alexandria via LeMat-Bulk describes an optimized crystal structure of La6Pm2Sm. The functional is PBE.

```
data_La6Pm2Sm
_chemical_formula_sum 'La12 Pm4 Sm2'
_cell_length_a 5.885
_cell_length_b 10.199
_cell_length_c 10.732
_cell_angle_alpha 90.00
_cell_angle_beta 90.00
_cell_angle_gamma 90.00
_space_group_name_H-M_alt 'C m m m'
_space_group_IT_number 65
_space_group_name_Hall '-C 2 2'
loop_
_atom_site_label
_atom_site_fract_x
_atom_site_fract_y
_atom_site_fract_z
La1 0.000 0.000 0.165
La2 0.000 0.334 0.334
Pm1 0.000 0.334 0.000
Sm1 0.000 0.000 0.500
```

## Properties
Raw total energy = -4.82 eV per atom
Size of the total moment = 0.00 μB per atom
Energy of formation from the pure elements = 0.04 eV/atom

4.
This record from Alexandria via LeMat-Bulk describes an optimized crystal structure of Be8AlTc3. The functional is PBE.

```
data_Be8AlTc3
_chemical_formula_sum 'Be24 Al3 Tc9'
_cell_length_a 4.3655
_cell_length_b 4.3655
_cell_length_c 21.4150
_cell_angle_alpha 90.00
_cell_angle_beta 90.00
_cell_angle_gamma 120.00
_space_group_name_H-M_alt 'R 3 m'
_space_group_IT_number 160
_space_group_name_Hall 'R 3 -2"'
loop_
_atom_site_label
_atom_site_fract_x
_atom_site_fract_y
_atom_site_fract_z
Be1 0.0000 0.0000 0.0000
Be2 0.0000 0.0000 0.5003
Be3 0.1678 0.3356 0.0832
Be4 0.1683 0.3366 0.5840
Al1 0.0000 0.0000 0.6889
Tc1 0.0000 0.0000 0.1873
Tc2 0.0000 0.0000 0.3113
Tc3 0.0000 0.0000 0.8155
```

## Properties
Raw total energy = -5.75 eV per atom
Size of the total moment = 0.00 μB per atom
Energy of formation from the pure elements = -0.36 eV/atom

5.
This record from Alexandria via LeMat-Bulk describes an optimized crystal structure of Er6In2Pt. The functional is PBE.

```
data_Er6In2Pt
_chemical_formula_sum 'Er12 In4 Pt2'
_cell_length_a 5.028
_cell_length_b 7.187
_cell_length_c 14.948
_cell_angle_alpha 90.00
_cell_angle_beta 90.00
_cell_angle_gamma 90.00
_space_group_name_H-M_alt 'I m m m'
_space_group_IT_number 71
_space_group_name_Hall '-I 2 2'
loop_
_atom_site_label
_atom_site_fract_x
_atom_site_fract_y
_atom_site_fract_z
Er1 0.000 0.228 0.000
Er2 0.000 0.261 0.343
In1 0.000 0.500 0.167
Pt1 0.000 0.500 0.500
```

## Properties
Raw total energy = -4.68 eV per atom
Size of the total moment = 0.00 μB per atom
Energy of formation from the pure elements = -0.36 eV/atom

6.
This record from Alexandria via LeMat-Bulk describes an optimized crystal structure of Ta2InPt. The functional is PBE.

```
data_Ta2InPt
_chemical_formula_sum 'Ta2 In1 Pt1'
_cell_length_a 3.607
_cell_length_b 3.607
_cell_length_c 5.657
_cell_angle_alpha 90.00
_cell_angle_beta 90.00
_cell_angle_gamma 90.00
_space_group_name_H-M_alt 'P 4/m m m'
_space_group_IT_number 123
_space_group_name_Hall '-P 4 2'
loop_
_atom_site_label
_atom_site_fract_x
_atom_site_fract_y
_atom_site_fract_z
Ta1 0.000 0.000 0.229
In1 0.500 0.500 0.500
Pt1 0.500 0.500 0.000
```

## Properties
Raw total energy = -8.13 eV per atom
Size of the total moment = 0.00 μB per atom
Energy of formation from the pure elements = -0.01 eV/atom

Q: Which value of raw total energy does entry 2 give?
A: -5.85 eV per atom

Q: Which value of raw total energy does entry 5 give?
A: -4.68 eV per atom

Q: Look up the raw total energy of the fourth one.
A: -5.75 eV per atom